# 1
DFT (PBE) results for crystalline Sm2ErSe3 at its relaxed geometry.

Values from the calculation:
theoretical density	7.839	g/cm³
symmetry	Immm
size of the total moment	0.000	μB per atom
E_form (uncorrected)	-1.774	eV per atom

Unit cell a=4.135 b=5.825 c=7.154 alpha=114.03 beta=106.80 gamma=90.00
Sites, in units of the cell vectors:
Se1 0.158 0.658 0.817
Se2 0.500 0.000 0.500
Se3 0.842 0.342 0.183
Er1 0.500 0.500 0.500
Sm1 0.172 0.172 0.844
Sm2 0.828 0.828 0.156

---

# 2
DFT (PBE) results for crystalline Ba2CaGa2 at its relaxed geometry.

Values from the calculation:
energy relative to the lowest polymorph listed for this composition	0.000	eV/f.u.
theoretical density	4.361	g/cm³
symmetry	C2/c
size of the total moment	0.000	μB per atom
energy of formation from the pure elements	-0.31	eV per atom

Unit cell a=5.802 b=6.806 c=10.059 alpha=104.23 beta=90.00 gamma=115.21
Sites, in units of the cell vectors:
Ca1 0.749 0.000 0.250
Ca2 0.251 0.000 0.750
Ba1 0.403 0.307 0.134
Ba2 0.904 0.307 0.634
Ba3 0.597 0.693 0.866
Ba4 0.096 0.693 0.366
Ga1 0.891 0.283 0.964
Ga2 0.392 0.283 0.464
Ga3 0.608 0.717 0.536
Ga4 0.109 0.717 0.036

---

# 3
DFT (PBE) results for crystalline CdCuP2Br at its relaxed geometry.

Values from the calculation:
theoretical density	4.130	g/cm³
symmetry	P4/mmm
size of the total moment	0.000	μB per atom
E_form (uncorrected)	1.416	eV per atom

Unit cell a=4.931 b=5.255 c=4.931 alpha=90.00 beta=90.00 gamma=90.00
Sites, in units of the cell vectors:
Cd1 0.000 0.500 0.000
P1 0.000 0.000 0.500
P2 0.500 0.000 0.000
Br1 0.000 0.000 0.000
Cu1 0.500 0.500 0.500